Below is a relaxed structure of Nd4BIBr4, with properties calculated at the PBE level.

a = 9.482 Å, b = 9.482 Å, c = 8.885 Å
α = 103.10°, β = 103.10°, γ = 25.08°
Fractional positions:
Nd 0.645 0.645 0.076
Br 0.166 0.166 0.323
Nd 0.999 0.999 0.202
I 0.500 0.500 0.500
Br 0.834 0.834 0.677
Br 0.171 0.171 0.844
Br 0.829 0.829 0.156
Nd 0.001 0.001 0.798
B 0.500 0.500 0.000
Nd 0.355 0.355 0.924

Calculated values
space-group type: No. 12
final energy: -4.749 eV per atom
magnetization: 0.00 Bohr magnetons per cell